The following is a PBE-GGA calculation of a geometry-optimized NbHgSb2Te structure, from Alexandria.

Geometry as CIF:
```
data_NbHgSb2Te
_chemical_formula_sum 'Nb1 Hg1 Sb2 Te1'
_space_group_name_H-M_alt 'P 4/m m m'
_space_group_IT_number 123
_space_group_name_Hall '-P 4 2'
_cell_length_a 5.426
_cell_length_b 5.426
_cell_length_c 5.571
_cell_angle_alpha 90.00
_cell_angle_beta 90.00
_cell_angle_gamma 90.00
loop_
_atom_site_label
_atom_site_fract_x
_atom_site_fract_y
_atom_site_fract_z
_atom_site_occupancy
Nb1 0.000 0.000 0.000 1
Hg1 0.500 0.500 0.500 1
Sb1 0.000 0.500 0.500 1
Te1 0.500 0.500 0.000 1
```

Results
V = 32.8 Å³/atom
E_form (uncorrected) = 1.27 eV/atom
Excess energy over the best structure of this formula in the dataset = 1054 meV/atom
E = -3.08 eV/atom